This record from Alexandria via LeMat-Bulk describes Li2MnCdO4 after structural relaxation. The functional is PBE with a Hubbard U.

The structure in extended XYZ format:
```
16
Lattice="6.412 -0.478 -0.030 -0.483 6.411 -0.030 -2.946 -2.948 4.224" Properties=species:S:1:pos:R:3 pbc="T T T"
O 0.187 2.919 2.167
O 2.920 2.910 2.153
O 2.796 0.067 1.996
O 0.944 5.108 0.056
O 1.416 1.429 0.071
O 2.039 -2.122 4.108
O 0.063 0.075 2.011
O 1.567 1.556 4.093
Li 3.206 -0.239 -0.015
Li -1.473 -1.474 2.112
Li 2.964 2.966 -0.030
Li 1.733 -1.713 2.097
Cd 4.697 1.253 2.067
Cd -0.241 3.206 -0.015
Mn 3.466 -3.426 4.194
Mn 1.492 1.493 2.082
```

Output
Raw total energy   -5.47 eV per atom
N(E_F)   0.5 states/eV/f.u.
Magnetization   6.00 μB/cell

---

This record from Alexandria via LeMat-Bulk describes LiMnCd2O4 after structural relaxation. The functional is PBE with a Hubbard U.

The structure in extended XYZ format:
```
8
Lattice="-1.371 -2.273 -1.880 -1.987 -2.455 4.417 -3.725 3.692 -1.748" Properties=species:S:1:pos:R:3 pbc="T T T"
O -2.003 -0.920 -0.240
O -3.378 2.342 -0.369
O -5.080 -0.115 1.029
O -2.334 -1.104 3.037
Mn 0.000 0.000 0.000
Li -1.679 -2.364 1.269
Cd -2.856 0.619 1.334
Cd -2.548 0.710 -1.814
```

Output
Raw total energy   -5.18 eV per atom
N(E_F)   0.8 states/eV/f.u.
Magnetization   4.00 μB/cell